--- P ---
Compound: NdBiTe2
Source: the Alexandria database
Functional: PBE
Structure: relaxed

Fermi-level density of states (states/eV/f.u.): 1.913
M_tot (μB per cell): 2.40
ρ (kg/m3): 7742

Unit cell a=4.092 b=24.431 c=5.222 alpha=90.00 beta=90.00 gamma=90.00
Space group Cmcm (No. 63)
Inequivalent atoms, fractional coordinates:
Nd 0.000 0.053 0.250 x4
Bi 0.000 0.315 0.250 x4
Te 0.000 0.186 0.250 x4
Te 0.000 0.445 0.250 x4

=====

--- Q ---
Compound: NdBiTe2
Source: the Alexandria database
Functional: PBE
Structure: relaxed

Fermi-level density of states (states/eV/f.u.): 1.180
M_tot (μB per cell): 0.00
ρ (kg/m3): 6275

Unit cell a=4.3261 b=4.3261 c=29.8010 alpha=90.00 beta=90.00 gamma=120.00
Space group R-3m (No. 166, hexagonal axes)
Inequivalent atoms, fractional coordinates:
Nd 0.0000 0.0000 0.0000 x3
Bi 0.0000 0.0000 0.5000 x3
Te 0.0000 0.0000 0.3972 x6

=====

We find Q to be the most stable, with the next structure 38 meV/atom higher.

=====

--- P ---
Compound: Nd4Bi2Te
Source: the Alexandria database
Functional: PBE
Structure: relaxed

Fermi-level density of states (states/eV/f.u.): 7.865
M_tot (μB per cell): 0.00
ρ (kg/m3): 8385

Unit cell a=9.586 b=9.586 c=9.676 alpha=90.00 beta=90.00 gamma=90.00
Space group I-42d (No. 122)
Inequivalent atoms, fractional coordinates:
Nd 0.072 0.183 0.302 x16
Bi 0.121 0.250 0.625 x8
Te 0.000 0.000 0.000 x4

=====

--- Q ---
Compound: Nd4Bi2Te
Source: the Alexandria database
Functional: PBE
Structure: relaxed

Fermi-level density of states (states/eV/f.u.): 5.975
M_tot (μB per cell): 0.00
ρ (kg/m3): 7340

Unit cell a=8.781 b=10.673 c=10.839 alpha=90.00 beta=90.00 gamma=90.00
Space group Imma (No. 74)
Inequivalent atoms, fractional coordinates:
Nd 0.000 0.042 0.210 x8
Nd 0.219 0.250 0.545 x8
Bi 0.000 0.000 0.500 x4
Bi 0.250 0.250 0.250 x4
Te 0.000 0.250 0.781 x4

=====

We find P to be the most stable, with the next structure 199 meV/atom higher.

=====

--- P ---
Compound: Nd3BiTe
Source: the Alexandria database
Functional: PBE
Structure: relaxed

Fermi-level density of states (states/eV/f.u.): 3.486
M_tot (μB per cell): 0.00
ρ (kg/m3): 6266

Unit cell a=17.986 b=4.420 c=10.785 alpha=90.00 beta=107.97 gamma=90.00
Space group C2/m (No. 12)
Inequivalent atoms, fractional coordinates:
Nd 0.012 0.000 0.172 x4
Nd 0.150 0.500 0.054 x4
Nd 0.185 0.000 0.568 x4
Bi 0.123 0.500 0.350 x4
Te 0.165 0.000 0.843 x4

=====

--- Q ---
Compound: Nd3BiTe
Source: the Alexandria database
Functional: PBE
Structure: relaxed

Fermi-level density of states (states/eV/f.u.): 4.490
M_tot (μB per cell): 0.00
ρ (kg/m3): 7743

Unit cell a=8.509 b=4.525 c=17.140 alpha=90.00 beta=90.00 gamma=90.00
Space group Pnma (No. 62)
Inequivalent atoms, fractional coordinates:
Nd 0.014 0.250 0.107 x4
Nd 0.136 0.250 0.559 x4
Nd 0.168 0.750 0.275 x4
Bi 0.112 0.750 0.699 x4
Te 0.228 0.250 0.950 x4

=====

We find Q to be the most stable, with the next structure 295 meV/atom higher.

=====

--- P ---
Compound: NdThBi2
Source: the Alexandria database
Functional: PBE
Structure: relaxed

Fermi-level density of states (states/eV/f.u.): 1.892
M_tot (μB per cell): 0.00
ρ (kg/m3): 9566

Unit cell a=6.510 b=6.510 c=13.015 alpha=90.00 beta=90.00 gamma=90.00
Space group I4_1/amd (No. 141, origin choice 2)
Inequivalent atoms, fractional coordinates:
Nd 0.000 0.250 0.375 x4
Th 0.000 0.250 0.875 x4
Bi 0.000 0.250 0.124 x8

=====

--- Q ---
Compound: NdThBi2
Source: the Alexandria database
Functional: PBE
Structure: relaxed

Fermi-level density of states (states/eV/f.u.): 3.676
M_tot (μB per cell): 0.00
ρ (kg/m3): 9386

Unit cell a=4.5335 b=4.5335 c=23.6831 alpha=90.00 beta=90.00 gamma=120.00
Space group R3m (No. 160, hexagonal axes)
Inequivalent atoms, fractional coordinates:
Nd 0.0000 0.0000 0.0000 x3
Th 0.0000 0.0000 0.1723 x3
Bi 0.0000 0.0000 0.5852 x3
Bi 0.0000 0.0000 0.7546 x3

=====

We find P to be the most stable, with the next structure 87 meV/atom higher.

=====

--- P ---
Compound: NdThBi2
Source: the Alexandria database
Functional: PBE
Structure: relaxed

Fermi-level density of states (states/eV/f.u.): 2.193
M_tot (μB per cell): 0.00
ρ (kg/m3): 9563

Unit cell a=4.6080 b=4.6080 c=22.5002 alpha=90.00 beta=90.00 gamma=120.00
Space group R-3m (No. 166, hexagonal axes)
Inequivalent atoms, fractional coordinates:
Nd 0.0000 0.0000 0.0000 x3
Th 0.0000 0.0000 0.5000 x3
Bi 0.0000 0.0000 0.2498 x6

=====

--- Q ---
Compound: NdThBi2
Source: the Alexandria database
Functional: PBE
Structure: relaxed

Fermi-level density of states (states/eV/f.u.): 3.680
M_tot (μB per cell): 0.00
ρ (kg/m3): 10703

Unit cell a=5.844 b=5.844 c=3.608 alpha=90.00 beta=90.00 gamma=90.00
Space group P4/mmm (No. 123)
Inequivalent atoms, fractional coordinates:
Nd 0.000 0.000 0.000 x1
Th 0.500 0.500 0.000 x1
Bi 0.000 0.500 0.500 x2

=====

--- R ---
Compound: NdThBi2
Source: the Alexandria database
Functional: PBE
Structure: relaxed

Fermi-level density of states (states/eV/f.u.): 4.492
M_tot (μB per cell): 0.00
ρ (kg/m3): 10019

Unit cell a=3.5188 b=3.5188 c=36.8273 alpha=90.00 beta=90.00 gamma=120.00
Space group R-3m (No. 166, hexagonal axes)
Inequivalent atoms, fractional coordinates:
Nd 0.0000 0.0000 0.0000 x3
Th 0.0000 0.0000 0.5000 x3
Bi 0.0000 0.0000 0.4093 x6

=====

--- S ---
Compound: NdThBi2
Source: the Alexandria database
Functional: PBE
Structure: relaxed

Fermi-level density of states (states/eV/f.u.): 4.478
M_tot (μB per cell): 0.00
ρ (kg/m3): 10613

Unit cell a=7.922 b=7.922 c=7.922 alpha=90.00 beta=90.00 gamma=90.00
Space group Fm-3m (No. 225)
Inequivalent atoms, fractional coordinates:
Nd 0.000 0.000 0.000 x4
Th 0.000 0.000 0.500 x4
Bi 0.250 0.250 0.250 x8

=====

We find P to be the most stable, with the next structure 152 meV/atom higher.

=====

--- P ---
Compound: NdTh2Bi4
Source: the Alexandria database
Functional: PBE
Structure: relaxed

Fermi-level density of states (states/eV/f.u.): 4.478
M_tot (μB per cell): 0.00
ρ (kg/m3): 9298

Unit cell a=4.570 b=15.314 c=14.742 alpha=90.00 beta=90.00 gamma=90.00
Space group Cmcm (No. 63)
Inequivalent atoms, fractional coordinates:
Nd 0.000 0.111 0.250 x4
Th 0.000 0.364 0.061 x8
Bi 0.000 0.000 0.000 x4
Bi 0.000 0.268 0.635 x8
Bi 0.000 0.460 0.250 x4

=====

--- Q ---
Compound: NdTh2Bi4
Source: the Alexandria database
Functional: PBE
Structure: relaxed

Fermi-level density of states (states/eV/f.u.): 4.111
M_tot (μB per cell): 0.00
ρ (kg/m3): 10592

Unit cell a=9.651 b=9.651 c=9.722 alpha=90.00 beta=90.00 gamma=90.00
Space group I-42d (No. 122)
Inequivalent atoms, fractional coordinates:
Nd 0.000 0.000 0.000 x4
Th 0.125 0.250 0.625 x8
Bi 0.081 0.171 0.297 x16

=====

We find Q to be the most stable, with the next structure 228 meV/atom higher.

=====

--- P ---
Compound: NdTlBi2
Source: the Alexandria database
Functional: PBE
Structure: relaxed

Fermi-level density of states (states/eV/f.u.): 1.447
M_tot (μB per cell): 0.00
ρ (kg/m3): 8760

Unit cell a=5.2330 b=5.2330 c=18.3814 alpha=90.00 beta=90.00 gamma=120.00
Space group R3m (No. 160, hexagonal axes)
Inequivalent atoms, fractional coordinates:
Nd 0.0000 0.0000 0.0000 x3
Tl 0.0000 0.0000 0.8195 x3
Bi 0.0000 0.0000 0.4122 x3
Bi 0.0000 0.0000 0.5860 x3

=====

--- Q ---
Compound: NdTlBi2
Source: the Alexandria database
Functional: PBE
Structure: relaxed

Fermi-level density of states (states/eV/f.u.): 3.684
M_tot (μB per cell): 0.00
ρ (kg/m3): 10049

Unit cell a=4.341 b=4.341 c=6.722 alpha=90.00 beta=90.00 gamma=90.00
Space group P4/mmm (No. 123)
Inequivalent atoms, fractional coordinates:
Nd 0.000 0.000 0.000 x1
Tl 0.000 0.000 0.500 x1
Bi 0.500 0.500 0.235 x2

=====

We find Q to be the most stable, with the next structure 183 meV/atom higher.

=====

--- P ---
Compound: NdTm2Bi
Source: the Alexandria database
Functional: PBE
Structure: relaxed

Fermi-level density of states (states/eV/f.u.): 5.972
M_tot (μB per cell): 2.83
ρ (kg/m3): 9161

Unit cell a=4.168 b=12.507 c=9.612 alpha=90.00 beta=90.00 gamma=90.00
Space group Cmcm (No. 63)
Inequivalent atoms, fractional coordinates:
Nd 0.000 0.053 0.250 x4
Tm 0.000 0.366 0.041 x8
Bi 0.000 0.237 0.750 x4

=====

--- Q ---
Compound: NdTm2Bi
Source: the Alexandria database
Functional: PBE
Structure: relaxed

Fermi-level density of states (states/eV/f.u.): 6.771
M_tot (μB per cell): 0.00
ρ (kg/m3): 9813

Unit cell a=7.763 b=7.763 c=7.763 alpha=90.00 beta=90.00 gamma=90.00
Space group Fm-3m (No. 225)
Inequivalent atoms, fractional coordinates:
Nd 0.000 0.000 0.000 x4
Tm 0.250 0.250 0.250 x8
Bi 0.000 0.000 0.500 x4

=====

We find P to be the most stable, with the next structure 276 meV/atom higher.

=====

--- P ---
Compound: NdTm2Bi
Source: the Alexandria database
Functional: PBE
Structure: relaxed

Fermi-level density of states (states/eV/f.u.): 5.021
M_tot (μB per cell): 0.00
ρ (kg/m3): 9836

Unit cell a=4.894 b=4.894 c=4.871 alpha=90.00 beta=90.00 gamma=90.00
Space group P4/mmm (No. 123)
Inequivalent atoms, fractional coordinates:
Nd 0.000 0.000 0.000 x1
Tm 0.000 0.500 0.500 x2
Bi 0.500 0.500 0.000 x1

=====

--- Q ---
Compound: NdTm2Bi
Source: the Alexandria database
Functional: PBE
Structure: relaxed

Fermi-level density of states (states/eV/f.u.): 4.025
M_tot (μB per cell): 0.00
ρ (kg/m3): 9509

Unit cell a=4.014 b=4.014 c=7.490 alpha=90.00 beta=90.00 gamma=90.00
Space group P4/mmm (No. 123)
Inequivalent atoms, fractional coordinates:
Nd 0.000 0.000 0.000 x1
Tm 0.500 0.500 0.275 x2
Bi 0.000 0.000 0.500 x1

=====

We find P to be the most stable, with the next structure 15 meV/atom higher.

=====

--- P ---
Compound: Nd2TmBi
Source: the Alexandria database
Functional: PBE
Structure: relaxed

Fermi-level density of states (states/eV/f.u.): 3.986
M_tot (μB per cell): 0.00
ρ (kg/m3): 8693

Unit cell a=4.312 b=4.312 c=6.847 alpha=90.00 beta=90.00 gamma=90.00
Space group P4/mmm (No. 123)
Inequivalent atoms, fractional coordinates:
Nd 0.000 0.000 0.239 x2
Tm 0.500 0.500 0.500 x1
Bi 0.500 0.500 0.000 x1

=====

--- Q ---
Compound: Nd2TmBi
Source: the Alexandria database
Functional: PBE
Structure: relaxed

Fermi-level density of states (states/eV/f.u.): 5.717
M_tot (μB per cell): 2.36
ρ (kg/m3): 7734

Unit cell a=4.1567 b=4.1567 c=28.6877 alpha=90.00 beta=90.00 gamma=120.00
Space group R3m (No. 160, hexagonal axes)
Inequivalent atoms, fractional coordinates:
Nd 0.0000 0.0000 0.0000 x3
Nd 0.0000 0.0000 0.1895 x3
Tm 0.0000 0.0000 0.4279 x3
Bi 0.0000 0.0000 0.5946 x3

=====

We find P to be the most stable, with the next structure 221 meV/atom higher.

=====

--- P ---
Compound: Nd2TmBi
Source: the Alexandria database
Functional: PBE
Structure: relaxed

Fermi-level density of states (states/eV/f.u.): 4.983
M_tot (μB per cell): 0.00
ρ (kg/m3): 8112

Unit cell a=3.5735 b=3.5735 c=37.0051 alpha=90.00 beta=90.00 gamma=120.00
Space group R-3m (No. 166, hexagonal axes)
Inequivalent atoms, fractional coordinates:
Nd 0.0000 0.0000 0.0881 x6
Tm 0.0000 0.0000 0.5000 x3
Bi 0.0000 0.0000 0.0000 x3

=====

--- Q ---
Compound: Nd2TmBi
Source: the Alexandria database
Functional: PBE
Structure: relaxed

Fermi-level density of states (states/eV/f.u.): 4.095
M_tot (μB per cell): 0.00
ρ (kg/m3): 9138

Unit cell a=4.937 b=4.937 c=4.969 alpha=90.00 beta=90.00 gamma=90.00
Space group P4/mmm (No. 123)
Inequivalent atoms, fractional coordinates:
Nd 0.000 0.500 0.000 x2
Tm 0.000 0.000 0.500 x1
Bi 0.500 0.500 0.500 x1

=====

We find Q to be the most stable, with the next structure 386 meV/atom higher.

=====

--- P ---
Compound: Nd3TmBi2
Source: the Alexandria database
Functional: PBE
Structure: relaxed

Fermi-level density of states (states/eV/f.u.): 7.570
M_tot (μB per cell): 0.61
ρ (kg/m3): 7813

Unit cell a=7.208 b=14.771 c=8.141 alpha=90.00 beta=90.00 gamma=90.00
Space group Ibam (No. 72)
Inequivalent atoms, fractional coordinates:
Nd 0.000 0.000 0.250 x4
Nd 0.000 0.298 0.250 x8
Tm 0.000 0.500 0.000 x4
Bi 0.170 0.147 0.000 x8

=====

--- Q ---
Compound: Nd3TmBi2
Source: the Alexandria database
Functional: PBE
Structure: relaxed

Fermi-level density of states (states/eV/f.u.): 5.287
M_tot (μB per cell): 0.00
ρ (kg/m3): 8812

Unit cell a=4.636 b=4.636 c=8.939 alpha=90.00 beta=90.00 gamma=90.00
Space group P-4m2 (No. 115)
Inequivalent atoms, fractional coordinates:
Nd 0.000 0.000 0.000 x1
Nd 0.000 0.500 0.649 x2
Tm 0.500 0.500 0.000 x1
Bi 0.000 0.500 0.278 x2

=====

We find Q to be the most stable, with the next structure 240 meV/atom higher.